Entry from the Alexandria database: Pr3Hg5Pb after structural relaxation (GGA-PBE).

Cell: 6.6248 9.2784 9.2779 Å, 120.00 90.00 90.00°
Atoms (fractional coordinates):
Pr  0.7500  0.3363  0.3363
Pr  0.7500  0.0000  0.6637
Pr  0.7500  0.6637  0.0000
Pr  0.2500  0.6637  0.6637
Pr  0.2500  0.0000  0.3363
Pr  0.2500  0.3363  0.0000
Hg  0.0000  0.6667  0.3333
Hg  0.5000  0.3333  0.6667
Hg  0.0000  0.3333  0.6667
Hg  0.5000  0.6667  0.3333
Hg  0.7500  0.6632  0.6632
Hg  0.7500  0.0000  0.3368
Hg  0.7500  0.3368  0.0000
Hg  0.2500  0.3368  0.3368
Hg  0.2500  0.0000  0.6632
Hg  0.2500  0.6632  0.0000
Pb  0.0000  0.0000  0.0000
Pb  0.5000  0.0000  0.0000

Output
**E**: -47.28 eV per cell
**Magnetic moment**: 0.000 μB per formula unit
**SG**: No. 193

Entry from the Alexandria database: Cd2In4GaHg after structural relaxation (GGA-PBE).

Cell: 4.6004 4.6004 10.4578 Å, 90.00 90.00 90.00°
Atoms (fractional coordinates):
Cd  0.5000  0.5000  0.3680
Cd  0.5000  0.5000  0.6320
In  0.0000  0.5000  0.1717
In  0.5000  0.0000  0.8283
In  0.5000  0.0000  0.1717
In  0.0000  0.5000  0.8283
Ga  0.0000  0.0000  0.0000
Hg  0.0000  0.0000  0.5000

Output
**E**: -15.55 eV per cell
**Magnetic moment**: 0.000 μB per formula unit
**SG**: No. 123

Entry from the Alexandria database: CaYI2 after structural relaxation (GGA-PBE).

Cell: 3.9960 3.9960 11.1675 Å, 79.69 79.69 60.00°
Atoms (fractional coordinates):
I  0.1022  0.1022  0.6933
I  0.8978  0.8978  0.3067
Y  0.5000  0.5000  0.5000
Ca  0.0000  0.0000  0.0000

Output
**E**: -14.81 eV per cell
**Raw formation energy**: -3.24 eV/f.u.
**Magnetic moment**: 0.000 μB per formula unit
**SG**: No. 166

Entry from the Alexandria database: SiAgBr2 after structural relaxation (GGA-PBE).

Cell: 10.1473 10.1473 10.1473 Å, 21.25 21.25 21.25°
Atoms (fractional coordinates):
Si  0.5000  0.5000  0.5000
Br  0.8905  0.8905  0.8905
Br  0.1095  0.1095  0.1095
Ag  0.0000  0.0000  0.0000

Output
**E**: -10.82 eV per cell
**Raw formation energy**: 0.80 eV/f.u.
**Magnetic moment**: 0.000 μB per formula unit
**SG**: No. 166

Entry from the Alexandria database: AlCdMo after structural relaxation (GGA-PBE).

Cell: 5.5036 5.5036 5.5036 Å, 149.87 141.06 50.00°
Atoms (fractional coordinates):
Mo  0.6484  0.6484  0.0000
Al  0.0169  0.0169  0.0000
Cd  0.3347  0.3347  0.0000

Output
**E**: -14.72 eV per cell
**Magnetic moment**: 0.000 μB per formula unit
**SG**: No. 44

Entry from the Alexandria database: Tl2ZnIn after structural relaxation (GGA-PBE).

Cell: 3.5364 3.5462 8.5128 Å, 90.00 90.00 90.00°
Atoms (fractional coordinates):
In  0.5000  0.5000  0.7061
Tl  0.0000  0.0000  0.9777
Tl  0.5000  0.5000  0.2948
Zn  0.0000  0.0000  0.5214

Output
**E**: -8.45 eV per cell
**Magnetic moment**: 0.000 μB per formula unit
**SG**: No. 99

Entry from the Alexandria database: Sr4CaPa3N8 after structural relaxation (GGA-PBE).

Cell: 7.2290 7.3064 7.2290 Å, 119.65 120.00 90.00°
Atoms (fractional coordinates):
Sr  0.5000  0.0000  0.0000
Sr  0.5000  0.0000  0.5000
Sr  0.0000  0.0000  0.0000
Sr  0.0000  0.0000  0.5000
Ca  0.0000  0.5000  0.0000
Pa  0.5000  0.5000  0.0000
Pa  0.5000  0.5000  0.5000
Pa  0.0000  0.5000  0.5000
N  0.2461  0.6985  0.9525
N  0.2461  0.6985  0.4921
N  0.2666  0.2998  0.5331
N  0.7064  0.6985  0.9525
N  0.2936  0.3015  0.0475
N  0.7334  0.7002  0.4669
N  0.7539  0.3015  0.5079
N  0.7539  0.3015  0.0475

Output
**E**: -124.89 eV per cell
**Raw formation energy**: -21.07 eV/f.u.
**Magnetic moment**: 0.000 μB per formula unit
**SG**: No. 166

Entry from the Alexandria database: SrCrBr2 after structural relaxation (GGA-PBE).

Cell: 5.4372 5.4372 5.4372 Å, 60.00 60.00 60.00°
Site moments in Bohr magnetons follow the coordinates.
Atoms (fractional coordinates):
Sr  0.5000  0.5000  0.5000  0.09
Br  0.2500  0.2500  0.2500  0.08
Br  0.7500  0.7500  0.7500  0.08
Cr  0.0000  0.0000  0.0000  4.45

Output
**E**: -17.24 eV per cell
**Raw formation energy**: -2.59 eV/f.u.
**Magnetic moment**: 5.971 μB per formula unit
**SG**: No. 225

Entry from the Alexandria database: LaScTa2 after structural relaxation (GGA-PBE).

Cell: 5.1218 5.1218 6.3254 Å, 86.69 86.69 34.27°
Atoms (fractional coordinates):
La  0.4984  0.4984  0.5077
Sc  0.2616  0.2616  0.2040
Ta  0.0005  0.0005  0.9841
Ta  0.7395  0.7395  0.8042

Output
**E**: -33.47 eV per cell
**Magnetic moment**: 0.000 μB per formula unit
**SG**: No. 8